Entry 1:
Li2BiF: optimized geometry, PBE.

theoretical density: 6.027 g cm⁻³
ΔE_f (raw): -1.5162 eV per atom
offset from the most stable computed form: 0.0 meV/atom
space group: R-3m, No. 166

POSCAR file:
```
Li2BiF
1.0
3.321 0.000 0.000
1.660 2.876 0.000
1.660 0.959 6.978
Li F Bi
2 1 1
direct
0.281 0.281 0.158
0.719 0.719 0.842
0.000 0.000 0.000
0.500 0.500 0.500
```

***

Entry 2:
Be2CdMo: optimized geometry, PBE.

theoretical density: 7.173 g cm⁻³
uncorrected energy: -18.29 eV for the cell shown
space group: P4/mmm, No. 123

POSCAR file:
```
Be2CdMo
1.0
3.943 0.000 0.000
0.000 3.943 0.000
0.000 0.000 3.371
Be Mo Cd
2 1 1
direct
0.000 0.000 0.000
0.500 0.500 0.000
0.000 0.500 0.500
0.500 0.000 0.500
```

***

Entry 3:
Na2UReO6: optimized geometry, PBE.

theoretical density: 6.849 g cm⁻³
ΔE_f (raw): -2.1540 eV per atom
space group: P4mm, No. 99

POSCAR file:
```
Na2UReO6
1.0
4.071 0.000 0.000
0.000 5.807 0.000
0.000 0.000 5.807
Re Na O U
1 2 6 1
direct
0.646 0.000 0.000
0.140 0.000 0.500
0.140 0.500 0.000
0.646 0.758 0.242
0.646 0.242 0.242
0.145 0.500 0.500
0.146 0.000 0.000
0.646 0.242 0.758
0.646 0.758 0.758
0.645 0.500 0.500
```

***

Entry 4:
Tl4BiH3Pd12: optimized geometry, PBE.

theoretical density: 11.606 g cm⁻³
uncorrected energy: -86.90 eV for the cell shown
space group: Im-3m, No. 229

POSCAR file:
```
Tl4BiH3Pd12
1.0
7.540 0.000 0.000
-2.513 7.109 0.000
-2.513 -3.555 6.157
Pd H Tl Bi
12 3 4 1
direct
0.703 0.000 0.703
0.000 0.297 0.297
0.500 0.750 0.250
0.750 0.250 0.500
0.297 0.297 0.000
0.500 0.250 0.750
0.297 0.000 0.297
0.703 0.703 0.000
0.000 0.703 0.703
0.250 0.750 0.500
0.250 0.500 0.750
0.750 0.500 0.250
0.500 0.500 0.000
0.000 0.500 0.500
0.500 0.000 0.500
0.500 0.500 0.500
0.500 0.000 0.000
0.000 0.500 0.000
0.000 0.000 0.500
0.000 0.000 0.000
```